Record 1
Compound: La6Si2RhBr3
Source: the Alexandria database
Functional: GGA-PBE
Structure: optimized geometry Values from VASP.

Calculated values
The space group is No. 12. The calculated total energy comes out at -66.3 eV per cell. For the volume, the calculation gives 364.2 Å³/cell. The energy relative to the elements, uncorrected is -1.13 eV/atom.

Structure (Quantum ESPRESSO input):
```
&SYSTEM
  ibrav = 0, nat = 12, ntyp = 4
/
ATOMIC_SPECIES
La 138.91 La.upf
Si 28.09 Si.upf
Rh 102.91 Rh.upf
Br 79.90 Br.upf
ATOMIC_POSITIONS angstrom
La -0.4322 0.0000 1.9868
La 5.2331 0.0000 3.7988
La 4.5684 0.0000 7.8821
La 12.3036 0.0000 0.9136
La 11.6389 0.0000 4.9969
La 17.3043 0.0000 6.8090
Si 2.3469 0.0000 2.9691
Si 14.5251 0.0000 5.8267
Rh 9.6374 0.0000 0.0000
Br 1.3196 0.0000 7.3678
Br 8.4360 0.0000 4.3979
Br 15.5524 0.0000 1.4279
CELL_PARAMETERS angstrom
9.6374 -2.1484 0.0000
9.6374 2.1484 0.0000
-2.4027 0.0000 8.7957
```

---

Record 2
Compound: AlInTe2N
Source: the Alexandria database
Functional: GGA-PBE
Structure: optimized geometry Values from VASP.

Calculated values
The space group is No. 123. For the polymorph energy (0 for the lowest one), the calculation gives 18.74 kcal/mol of atoms. The calculated total energy comes out at -16.5 eV per cell. For the volume, the calculation gives 139.0 Å³/cell. The energy relative to the elements, uncorrected is 0.93 eV/atom.

Structure (Quantum ESPRESSO input):
```
&SYSTEM
  ibrav = 0, nat = 5, ntyp = 4
/
ATOMIC_SPECIES
Al 26.98 Al.upf
In 114.82 In.upf
Te 127.60 Te.upf
N 14.01 N.upf
ATOMIC_POSITIONS angstrom
Al 0.0000 0.0000 0.0000
In 2.9523 2.9523 1.9931
Te 0.0000 2.9523 1.9931
Te 2.9523 0.0000 1.9931
N 2.9523 2.9523 0.0000
CELL_PARAMETERS angstrom
5.9047 0.0000 0.0000
0.0000 5.9047 0.0000
0.0000 0.0000 3.9861
```

---

no.,density of states at the Fermi level (states/eV/atom)
1,0.701
2,1.266